1.
A plane-wave DFT calculation with PBE was carried out for a geometry-optimized RbW2S structure.

```
8
Lattice="-2.389 2.389 8.772 2.389 -2.389 8.772 2.389 2.389 -8.772" Properties=species:S:1:pos:R:3 pbc="T T T"
Rb 0.000 0.000 0.000
Rb 0.000 2.389 4.386
W 1.195 2.051 -2.193
W 2.727 1.195 2.193
W 1.195 0.338 6.579
W -0.338 1.195 10.965
S 2.389 0.000 4.386
S 0.000 0.000 8.772
```

## Properties
total magnetic moment: 3.21 μB/cell
formation energy (no corrections): 29.52 kcal/mol of atoms

---

2.
A plane-wave DFT calculation with PBE was carried out for a geometry-optimized Th2Al9Co3 structure.

```
28
Lattice="6.561 -3.754 0.000 6.561 3.754 0.000 -4.391 0.000 9.431" Properties=species:S:1:pos:R:3 pbc="T T T"
Th 1.130 0.625 2.354
Th -1.065 -0.625 7.069
Th 9.796 0.625 2.362
Th 7.600 -0.625 7.077
Al 5.458 3.115 0.666
Al 5.468 3.115 4.050
Al 1.126 0.610 5.359
Al 4.098 1.378 2.385
Al 1.090 0.632 9.033
Al 3.321 -0.610 0.644
Al 3.268 0.977 7.073
Al 6.829 1.378 2.330
Al 3.285 -0.632 4.318
Al 5.446 0.632 5.113
Al 1.902 -1.378 7.101
Al 5.463 -0.977 2.358
Al 5.410 0.610 8.787
Al 7.641 -0.632 0.397
Al 4.633 -1.378 7.045
Al 7.605 -0.610 4.072
Al 3.263 -3.115 5.381
Al 3.273 -3.115 8.765
Co 3.280 1.877 0.000
Co 3.243 1.935 4.704
Co 7.683 1.935 0.012
Co 1.085 -1.877 4.715
Co 1.047 -1.935 9.419
Co 5.488 -1.935 4.727
```

## Properties
total magnetic moment: 0.00 μB/cell
formation enthalpy at 0 K: -0.508 eV per atom

---

3.
A plane-wave DFT calculation with PBE was carried out for a geometry-optimized SrInSb2 structure.

```
4
Lattice="5.512 -2.115 0.000 5.512 2.115 0.000 -1.704 0.000 5.270" Properties=species:S:1:pos:R:3 pbc="T T T"
Sr 0.000 0.000 0.000
In 7.925 0.000 1.502
Sb 1.425 0.000 3.529
Sb 4.629 0.000 2.670
```

## Properties
total magnetic moment: 0.00 μB/cell
formation energy (no corrections): -9.44 kcal/mol of atoms